TaCdPb3 | PBE-GGA | relaxed

Properties
Calculated total energy   -4.29 eV/atom
V   170 Å³ per cell

abc: 5.538 5.538 5.538
angles: 90.00 90.00 90.00
Space group Pm-3m (No. 221)
Asymmetric unit:
Ta (0.000, 0.000, 0.000)
Cd (0.500, 0.500, 0.500)
Pb (0.000, 0.000, 0.500)

---

BaPt | PBE-GGA | relaxed

Properties
Calculated total energy   -4.18 eV/atom
V   234 Å³ per cell

abc: 5.6491 5.6491 8.4658
angles: 90.00 90.00 120.00
Space group P6_3/mmc (No. 194)
Asymmetric unit:
Ba (0.0000, 0.0000, 0.2500)
Ba (0.3333, 0.6667, 0.2500)
Pt (0.3333, 0.6667, 0.5971)

---

DyY4Tm2 | PBE-GGA | relaxed

Properties
Calculated total energy   -5.60 eV/atom
V   445 Å³ per cell

abc: 16.632 3.534 8.689
angles: 90.00 119.50 90.00
Space group C2/m (No. 12)
Asymmetric unit:
Dy (0.000, 0.000, 0.000)
Y (0.139, 0.500, 0.831)
Y (0.204, 0.500, 0.294)
Tm (0.070, 0.000, 0.430)

---

HfFeTe2 | PBE-GGA | relaxed

Properties
Calculated total energy   -6.06 eV/atom
Raw formation energy   0.1161 eV per atom
V   475 Å³ per cell

abc: 6.205 6.205 12.326
angles: 90.00 90.00 90.00
Space group I-42d (No. 122)
Asymmetric unit:
Hf (0.000, 0.000, 0.000)
Fe (0.000, 0.000, 0.500)
Te (0.218, 0.250, 0.625)

---

PuZrTi2 | PBE-GGA | relaxed

Properties
Calculated total energy   -9.56 eV/atom
V   81 Å³ per cell

abc: 3.083 3.083 8.494
angles: 90.00 90.00 90.00
Space group P4/mmm (No. 123)
Asymmetric unit:
Pu (0.000, 0.000, 0.000)
Zr (0.000, 0.000, 0.500)
Ti (0.500, 0.500, 0.247)

---

Mg6ZnGa | PBE-GGA | relaxed

Properties
Calculated total energy   -1.76 eV/atom
V   331 Å³ per cell

abc: 5.018 6.304 10.477
angles: 90.00 90.00 90.00
Space group Amm2 (No. 38)
Asymmetric unit:
Mg (0.000, 0.000, 0.000)
Mg (0.000, 0.241, 0.256)
Mg (0.500, 0.000, 0.822)
Mg (0.500, 0.244, 0.568)
Zn (0.500, 0.000, 0.312)
Ga (0.000, 0.000, 0.508)

---

The lowest V belongs to which entry? PuZrTi2

---

What did the first record say?
TaCdPb3 | PBE-GGA | relaxed

Properties
Calculated total energy   -4.29 eV/atom
V   170 Å³ per cell

abc: 5.538 5.538 5.538
angles: 90.00 90.00 90.00
Space group Pm-3m (No. 221)
Asymmetric unit:
Ta (0.000, 0.000, 0.000)
Cd (0.500, 0.500, 0.500)
Pb (0.000, 0.000, 0.500)

---

What is the formula in the third record? DyY4Tm2

---

Which formula does entry 3 have? DyY4Tm2